1.
La3TmTl2 | Alexandria via LeMat-Bulk | PBE | optimized geometry; space group = Ibam, No. 72; total magnetic moment = 2.25 μB per cell
1.0
-3.425 8.559 3.398
3.425 -8.559 3.398
3.425 8.559 -3.398
La Tm Tl
6 2 4
Cartesian
1.713 3.025 0.000
0.000 0.000 1.699
1.713 -3.025 3.398
1.712 11.584 0.000
0.000 0.000 5.098
1.712 5.534 3.398
3.425 0.000 1.699
0.000 8.559 1.699
5.047 2.268 0.000
1.622 6.291 0.000
1.804 2.268 3.398
-1.622 6.291 3.398

2.
La3Tm2Tl7 | Alexandria via LeMat-Bulk | PBE | optimized geometry; space group = Cmmm, No. 65; total magnetic moment = 0.00 μB per cell
1.0
2.791 -11.882 0.000
2.791 11.882 0.000
0.000 0.000 5.745
La Tm Tl
3 2 7
Cartesian
0.000 0.000 0.000
2.791 7.883 0.000
2.791 -7.883 0.000
2.791 3.348 2.873
2.791 -3.348 2.873
2.791 9.991 2.873
2.791 6.442 2.873
2.791 2.053 0.000
2.791 0.000 2.873
2.791 -2.053 0.000
2.791 -6.442 2.873
2.791 -9.991 2.873

3.
La6Tm3Tl | Alexandria via LeMat-Bulk | PBE | optimized geometry; space group = R-3, No. 148; total magnetic moment = 0.00 μB per cell
1.0
6.181 3.568 5.299
-6.181 3.568 5.299
0.000 -7.137 5.299
La Tm Tl
12 6 2
Cartesian
-2.166 -5.134 6.650
-5.529 -0.691 9.248
-1.479 -1.519 4.807
-0.576 2.040 4.807
-3.363 4.442 6.650
2.055 -0.521 4.807
-2.055 0.521 11.091
3.363 -4.442 9.248
0.576 -2.040 11.091
1.479 1.519 11.091
5.529 0.691 6.650
2.166 5.134 9.248
-3.038 0.820 7.259
-2.229 -2.221 8.639
0.809 -3.041 7.259
-0.809 3.041 8.639
2.229 2.221 7.259
3.038 -0.820 8.639
0.000 0.000 0.000
0.000 0.000 7.949

no.,formation enthalpy at 0 K (eV per atom)
1,-0.2588
2,-0.1556
3,0.0817